Compound: ScIr3
Source: Alexandria via LeMat-Bulk
Functional: GGA-PBE
Structure: optimized geometry

a = 3.945 Å, b = 3.945 Å, c = 3.945 Å
α = 90.00°, β = 90.00°, γ = 90.00°
Positions (direct):
Sc 0.000 0.000 0.000
Ir 0.000 0.500 0.500
Ir 0.500 0.000 0.500
Ir 0.500 0.500 0.000

Output
Total DFT energy (no corrections): -35.3 eV per cell
Formation enthalpy at 0 K: -604 meV per atom
Symmetry: No. 221
Total moment: 0.000 μB per formula unit